# 1
DFT (meta-GGA SCAN) results for Ba2YAu at its PBEsol-relaxed geometry.

Cell: 5.7862 5.7862 5.7862 Å, 60.00 60.00 60.00°
Element x y z (fractional)
Au: 0.0000 0.0000 0.0000
Ba: 0.2500 0.2500 0.2500
Ba: 0.7500 0.7500 0.7500
Y: 0.5000 0.5000 0.5000

Results
energy above the most stable polymorph in this dataset: 140 meV per atom
space group: Fm-3m, No. 225

# 2
DFT (meta-GGA SCAN) results for BaYAu at its PBEsol-relaxed geometry.

Cell: 5.0043 4.8393 4.8393 Å, 120.00 90.00 90.00°
Element x y z (fractional)
Au: 0.1233 0.0000 0.0000
Ba: 0.6850 0.3333 0.6667
Y: 0.1918 0.6667 0.3333

Results
space group: P3m1, No. 156

Energy of formation from the pure elements (eV/atom)
0.125, -0.480